A plane-wave DFT calculation with PBE-GGA was carried out for SnBi2Sb after structural relaxation.

a = 4.4126 Å, b = 4.4126 Å, c = 23.8146 Å
α = 90.00°, β = 90.00°, γ = 120.00°
Space group R3m (No. 160, hexagonal axes)
Asymmetric unit:
Sn: 0.0000 0.0000 0.0000 x3
Bi: 0.0000 0.0000 0.5738 x3
Bi: 0.0000 0.0000 0.7409 x3
Sb: 0.0000 0.0000 0.1668 x3

relative energy among the computed polymorphs = 0.023 eV/atom
density of states at the Fermi level = 0.64 states/eV per atom



A plane-wave DFT calculation with PBE-GGA was carried out for BaHfGePt2 after structural relaxation.

a = 4.798 Å, b = 4.798 Å, c = 5.548 Å
α = 90.00°, β = 90.00°, γ = 90.00°
Space group P4/mmm (No. 123)
Asymmetric unit:
Ba: 0.000 0.000 0.000 x1
Hf: 0.500 0.500 0.000 x1
Ge: 0.000 0.000 0.500 x1
Pt: 0.000 0.500 0.500 x2

relative energy among the computed polymorphs = 0.550 eV/atom
density of states at the Fermi level = 1.13 states/eV per atom
E_form = 0.5669 eV/atom



A plane-wave DFT calculation with PBE-GGA was carried out for Cs2InHg6 after structural relaxation.

a = 10.934 Å, b = 10.934 Å, c = 10.934 Å
α = 90.00°, β = 90.00°, γ = 90.00°
Space group Fm-3m (No. 225)
Asymmetric unit:
Cs: 0.250 0.250 0.250 x8
In: 0.000 0.000 0.000 x4
Hg: 0.000 0.000 0.286 x24

relative energy among the computed polymorphs = 0.024 eV/atom
density of states at the Fermi level = 0.68 states/eV per atom
E_form = -0.1829 eV/atom



A plane-wave DFT calculation with PBE-GGA was carried out for RePd3Cl after structural relaxation.

a = 4.846 Å, b = 4.846 Å, c = 4.846 Å
α = 90.00°, β = 90.00°, γ = 90.00°
Space group Pm-3m (No. 221)
Asymmetric unit:
Re: 0.000 0.000 0.000 x1
Pd: 0.000 0.000 0.500 x3
Cl: 0.500 0.500 0.500 x1

relative energy among the computed polymorphs = 0.000 eV/atom
density of states at the Fermi level = 0.94 states/eV per atom



A plane-wave DFT calculation with PBE-GGA was carried out for SiSeO2 after structural relaxation.

a = 2.7103 Å, b = 2.7103 Å, c = 25.6682 Å
α = 90.00°, β = 90.00°, γ = 120.00°
Space group R-3m (No. 166, hexagonal axes)
Asymmetric unit:
Si: 0.0000 0.0000 0.0000 x3
Se: 0.0000 0.0000 0.5000 x3
O: 0.0000 0.0000 0.3686 x6

relative energy among the computed polymorphs = 0.000 eV/atom
density of states at the Fermi level = 0.26 states/eV per atom



A plane-wave DFT calculation with PBE-GGA was carried out for CsLiCeCl5 after structural relaxation.

a = 9.409 Å, b = 12.590 Å, c = 10.492 Å
α = 90.00°, β = 113.91°, γ = 90.00°
Space group C2/c (No. 15)
Asymmetric unit:
Cs: 0.000 0.157 0.250 x4
Li: 0.000 0.192 0.750 x4
Ce: 0.000 0.500 0.000 x4
Cl: 0.000 0.428 0.250 x4
Cl: 0.096 0.299 0.608 x8
Cl: 0.197 0.071 0.910 x8

density of states at the Fermi level = 0.99 states/eV per atom
final energy = -0.317 Ry per atom



A plane-wave DFT calculation with PBE-GGA was carried out for K5Na3Cl12 after structural relaxation.

a = 17.796 Å, b = 17.796 Å, c = 17.796 Å
α = 90.00°, β = 90.00°, γ = 90.00°
Space group Ia-3d (No. 230)
Asymmetric unit:
K: 0.000 0.000 0.000 x16
K: 0.000 0.250 0.375 x24
Na: 0.000 0.250 0.125 x24
Cl: 0.034 0.100 0.645 x96

density of states at the Fermi level = 0.70 states/eV per atom
final energy = -0.210 Ry per atom



A plane-wave DFT calculation with PBE-GGA was carried out for Y12Ni6P after structural relaxation.

a = 9.670 Å, b = 9.670 Å, c = 9.670 Å
α = 90.00°, β = 90.00°, γ = 90.00°
Space group Im-3 (No. 204)
Asymmetric unit:
Y: 0.000 0.302 0.187 x24
Ni: 0.000 0.125 0.500 x12
P: 0.000 0.000 0.000 x2

density of states at the Fermi level = 1.10 states/eV per atom
E_form = -0.3770 eV/atom



A plane-wave DFT calculation with PBE-GGA was carried out for Pu2Pd3Au after structural relaxation.

a = 5.5347 Å, b = 5.5347 Å, c = 13.3640 Å
α = 90.00°, β = 90.00°, γ = 120.00°
Space group R-3m (No. 166, hexagonal axes)
Asymmetric unit:
Pu: 0.0000 0.0000 0.1231 x6
Pd: 0.0000 0.5000 0.0000 x9
Au: 0.0000 0.0000 0.5000 x3

relative energy among the computed polymorphs = 0.000 eV/atom
density of states at the Fermi level = 3.07 states/eV per atom
E_form = -0.5398 eV/atom



A plane-wave DFT calculation with PBE-GGA was carried out for Th2Bi2HN after structural relaxation.

a = 5.931 Å, b = 15.650 Å, c = 5.925 Å
α = 90.00°, β = 90.00°, γ = 90.00°
Space group Ibam (No. 72)
Asymmetric unit:
Th: 0.225 0.080 0.000 x8
Bi: 0.231 0.310 0.000 x8
H: 0.000 0.500 0.250 x4
N: 0.000 0.000 0.250 x4

density of states at the Fermi level = 0.65 states/eV per atom
final energy = -0.483 Ry per atom



A plane-wave DFT calculation with PBE-GGA was carried out for Th6BiP3Se2 after structural relaxation.

a = 18.665 Å, b = 4.203 Å, c = 8.591 Å
α = 90.00°, β = 105.42°, γ = 90.00°
Space group C2/m (No. 12)
Asymmetric unit:
Th: 0.004 0.000 0.223 x4
Th: 0.161 0.500 0.095 x4
Th: 0.177 0.500 0.571 x4
Bi: 0.000 0.500 0.500 x2
P: 0.000 0.500 0.000 x2
P: 0.164 0.000 0.330 x4
Se: 0.168 0.000 0.833 x4

density of states at the Fermi level = 0.70 states/eV per atom
final energy = -0.541 Ry per atom



A plane-wave DFT calculation with PBE-GGA was carried out for PmTmZnCd after structural relaxation.

a = 3.600 Å, b = 3.600 Å, c = 7.667 Å
α = 90.00°, β = 90.00°, γ = 90.00°
Space group P4mm (No. 99)
Asymmetric unit:
Pm: 0.000 0.000 0.000 x1
Tm: 0.000 0.000 0.460 x1
Zn: 0.500 0.500 0.249 x1
Cd: 0.500 0.500 0.714 x1

relative energy among the computed polymorphs = 0.000 eV/atom
density of states at the Fermi level = 0.95 states/eV per atom
E_form = -0.3258 eV/atom